# 1
The following is a DFT calculation (PBE-GGA) of a relaxed structure of Mg3Sc4Ga.

Results
The calculation puts the total energy at -34.66 eV/cell.

abc: 3.5009 3.5009 14.3687
angles: 90.00 90.00 90.00
Fractional positions:
Sc1 0.0000 0.0000 0.3675
Sc2 0.0000 0.0000 0.1113
Sc3 0.0000 0.0000 0.8887
Sc4 0.0000 0.0000 0.6325
Ga1 0.5000 0.5000 0.0000
Mg1 0.5000 0.5000 0.5000
Mg2 0.5000 0.5000 0.7590
Mg3 0.5000 0.5000 0.2410


# 2
The following is a DFT calculation (PBE-GGA) of a relaxed structure of MgSc7Ga4.

Results
The calculation puts the total energy at -60.55 eV/cell.

abc: 5.1738 8.3453 6.8587
angles: 77.77 67.84 71.94
Fractional positions:
Sc1 0.9393 0.3710 0.7505
Sc2 0.7846 0.8819 0.5490
Sc3 0.3116 0.6249 0.7520
Sc4 0.2154 0.1181 0.4510
Sc5 0.6884 0.3751 0.2480
Sc6 0.5000 0.0000 0.0000
Sc7 0.0607 0.6290 0.2495
Mg1 0.0000 0.0000 0.0000
Ga1 0.5603 0.2325 0.6469
Ga2 0.4397 0.7675 0.3531
Ga3 0.6916 0.6682 0.9486
Ga4 0.3084 0.3318 0.0514


# 3
The following is a DFT calculation (PBE-GGA) of a relaxed structure of MgScGa.

Results
The calculation puts the total energy at -23.90 eV/cell.

abc: 4.6397 3.4985 7.7344
angles: 91.48 72.56 90.00
Fractional positions:
Sc1 0.3245 0.0404 0.8130
Sc2 0.6686 0.9960 0.1245
Ga1 0.8407 0.5291 0.7804
Ga2 0.1524 0.5071 0.1571
Mg1 0.9969 0.0181 0.4687
Mg2 0.4969 0.5182 0.4687


# 4
The following is a DFT calculation (PBE-GGA) of a relaxed structure of Mg5ScGa6.

Results
The calculation puts the total energy at -35.15 eV/cell.

abc: 4.5150 8.1202 8.1202
angles: 115.49 106.15 106.15
Fractional positions:
Ga1 0.7510 0.9190 0.5852
Ga2 0.7510 0.5852 0.9190
Ga3 0.7472 0.2489 0.2489
Ga4 0.2490 0.0810 0.4148
Ga5 0.2490 0.4148 0.0810
Ga6 0.2528 0.7511 0.7511
Mg1 0.5000 0.8303 0.1697
Mg2 0.5000 0.1697 0.8303
Mg3 0.0000 0.6672 0.3328
Mg4 0.0000 0.3328 0.6672
Mg5 0.5000 0.5000 0.5000
Sc1 0.0000 0.0000 0.0000


# 5
The following is a DFT calculation (PBE-GGA) of a relaxed structure of MgScGa.

Results
The calculation puts the total energy at -23.65 eV/cell.

abc: 4.7714 3.3588 7.6813
angles: 102.83 89.75 89.99
Fractional positions:
Ga1 0.6732 0.2675 0.9947
Ga2 0.1696 0.4621 0.3862
Sc1 0.6702 0.9321 0.3308
Sc2 0.1726 0.7975 0.0501
Mg1 0.1708 0.1181 0.6969
Mg2 0.6708 0.6117 0.6839


# 6
The following is a DFT calculation (PBE-GGA) of a relaxed structure of MgScGa.

Results
The calculation puts the total energy at -22.67 eV/cell.

abc: 4.3370 4.3370 6.9063
angles: 90.00 90.00 90.00
Fractional positions:
Sc1 0.0000 0.5000 0.2169
Sc2 0.5000 0.0000 0.7831
Ga1 0.5000 0.5000 0.5000
Ga2 0.0000 0.0000 0.5000
Mg1 0.0000 0.5000 0.7658
Mg2 0.5000 0.0000 0.2342


# 7
The following is a DFT calculation (PBE-GGA) of a relaxed structure of MgScGa.

Results
The calculation puts the total energy at -23.88 eV/cell.

abc: 6.8114 5.5639 4.3411
angles: 112.83 89.98 58.07
Fractional positions:
Ga1 0.8690 0.8655 0.4518
Ga2 0.1687 0.2649 0.1495
Sc1 0.8401 0.4439 0.7396
Sc2 0.1977 0.6865 0.8616
Mg1 0.4259 0.9147 0.4754
Mg2 0.6118 0.2155 0.1259


# 8
The following is a DFT calculation (PBE-GGA) of a relaxed structure of Mg4Sc3Ga4.

Results
The calculation puts the total energy at -40.85 eV/cell.

abc: 4.2670 7.3155 8.3265
angles: 116.06 104.85 90.00
Fractional positions:
Ga1 0.5000 0.8197 0.0000
Ga2 0.2221 0.7221 0.4443
Ga3 0.7779 0.2779 0.5557
Ga4 0.5000 0.1803 0.0000
Mg1 0.6712 0.8671 0.3425
Mg2 0.3288 0.1329 0.6575
Mg3 0.6712 0.4753 0.3425
Mg4 0.3288 0.5247 0.6575
Sc1 0.8845 0.8845 0.7690
Sc2 0.0000 0.5000 0.0000
Sc3 0.1155 0.1155 0.2310


# 9
The following is a DFT calculation (PBE-GGA) of a relaxed structure of MgSc2Ga4.

Results
The energy above the most stable polymorph in this dataset comes out at 491 meV/atom.

abc: 4.8522 4.8522 7.8056
angles: 71.89 71.89 90.00
Fractional positions:
Ga1 0.5000 0.0000 0.0000
Ga2 0.1887 0.1887 0.6226
Ga3 0.8113 0.8113 0.3774
Ga4 0.0000 0.5000 0.0000
Sc1 0.3869 0.3869 0.2262
Sc2 0.6131 0.6131 0.7738
Mg1 0.0000 0.0000 0.0000


# 10
The following is a DFT calculation (PBE-GGA) of a relaxed structure of MgSc2Ga4.

Results
The energy above the most stable polymorph in this dataset comes out at 0 meV/atom.

abc: 5.7047 5.7047 5.7047
angles: 102.55 113.04 113.04
Fractional positions:
Ga1 0.0000 0.5000 0.0000
Ga2 0.5000 0.5000 0.5000
Ga3 0.5000 0.0000 0.0000
Ga4 0.0000 0.0000 0.5000
Sc1 0.5000 0.5000 0.0000
Sc2 0.5000 0.0000 0.5000
Mg1 0.0000 0.0000 0.0000